Ge4PdPt3Pb2: optimized geometry, PBE.

Structure (POSCAR):
```
Ge4PdPt3Pb2
1.0
4.422 0.000 0.000
0.000 4.422 0.000
0.000 0.000 10.294
Ge Pt Pb Pd
4 3 2 1
Direct
0.000 0.000 0.000 Ge
0.500 0.000 0.626 Ge
0.500 0.500 0.000 Ge
0.000 0.500 0.374 Ge
0.000 0.500 0.130 Pt
0.000 0.000 0.500 Pt
0.500 0.000 0.870 Pt
0.000 0.500 0.738 Pb
0.500 0.000 0.262 Pb
0.500 0.500 0.500 Pd
```

**V**: 201.3 Å³/cell
**Magnetization**: 0.000 μB/f.u.
**Formation energy from the elements**: -0.307 eV/atom
**Space-group type**: P-4m2, No. 115